Crystalline AcPr2AlO6 at its relaxed geometry, computed with PBE.

## Properties
D(E_F) = 0.00 states/eV/cell
DFT total energy = -7.733 eV per atom

Cell lengths 5.5803, 5.4611, 5.4611 Å; angles 90.00, 90.00, 90.00 degrees
Element x y z (fractional)
1 Ac 0.5319 0.5000 0.5000
2 Pr 0.9817 0.5000 0.0000
3 Pr 0.9817 0.0000 0.5000
4 Al 0.6120 0.0000 0.0000
5 O 0.7374 0.2283 0.2283
6 O 0.7374 0.2283 0.7717
7 O 0.1036 0.5000 0.5000
8 O 0.2863 0.0000 0.0000
9 O 0.7374 0.7717 0.7717
10 O 0.7374 0.7717 0.2283

Crystalline AcAlPtO4 at its relaxed geometry, computed with PBE.

## Properties
DFT total energy = -7.046 eV per atom

Cell lengths 5.6902, 5.6902, 5.1829 Å; angles 123.29, 123.29, 90.00 degrees
Element x y z (fractional)
1 Ac 0.0000 0.0000 0.0000
2 Al 0.5000 0.5000 0.0000
3 Pt 0.2500 0.7500 0.5000
4 O 0.1600 0.1387 0.6468
5 O 0.4918 0.8400 0.3532
6 O 0.4869 0.5082 0.6468
7 O 0.8613 0.5131 0.3532

Crystalline Ac3Al2PtO9 at its relaxed geometry, computed with PBE.

## Properties
D(E_F) = 3.28 states/eV/cell
DFT total energy = -7.410 eV per atom

Cell lengths 5.5970, 5.5970, 6.9070 Å; angles 90.00, 90.00, 120.00 degrees
Element x y z (fractional)
1 Ac 0.3333 0.6667 0.6614
2 Ac 0.0000 0.0000 0.0000
3 Ac 0.6667 0.3333 0.3386
4 Al 0.3333 0.6667 0.1518
5 Al 0.6667 0.3333 0.8482
6 Pt 0.0000 0.0000 0.5000
7 O 0.8242 0.1758 0.6789
8 O 0.8242 0.6485 0.6789
9 O 0.3515 0.1758 0.6789
10 O 0.6485 0.8242 0.3211
11 O 0.1758 0.3515 0.3211
12 O 0.1758 0.8242 0.3211
13 O 0.5000 0.0000 0.0000
14 O 0.0000 0.5000 0.0000
15 O 0.5000 0.5000 0.0000

Crystalline AcAl4Pt3O12 at its relaxed geometry, computed with PBE.

## Properties
D(E_F) = 9.09 states/eV/cell
DFT total energy = -6.813 eV per atom

Cell lengths 6.4623, 6.4623, 6.4623 Å; angles 109.47, 109.47, 109.47 degrees
Element x y z (fractional)
1 Ac 0.0000 0.0000 0.0000
2 Al 0.5000 0.0000 0.0000
3 Al 0.5000 0.5000 0.5000
4 Al 0.0000 0.5000 0.0000
5 Al 0.0000 0.0000 0.5000
6 Pt 0.0000 0.5000 0.5000
7 Pt 0.5000 0.5000 0.0000
8 Pt 0.5000 0.0000 0.5000
9 O 0.3010 0.8141 0.1151
10 O 0.6990 0.1859 0.8849
11 O 0.6990 0.8141 0.5131
12 O 0.8849 0.6990 0.1859
13 O 0.8141 0.1151 0.3010
14 O 0.1859 0.4869 0.3010
15 O 0.4869 0.3010 0.1859
16 O 0.1859 0.8849 0.6990
17 O 0.3010 0.1859 0.4869
18 O 0.1151 0.3010 0.8141
19 O 0.8141 0.5131 0.6990
20 O 0.5131 0.6990 0.8141

Crystalline AcAlPtO6 at its relaxed geometry, computed with PBE.

## Properties
D(E_F) = 4.00 states/eV/cell
DFT total energy = -6.781 eV per atom

Cell lengths 5.4193, 5.1586, 5.1586 Å; angles 120.00, 90.00, 90.00 degrees
Element x y z (fractional)
1 Ac 0.0000 0.3333 0.6667
2 Al 0.5000 0.6667 0.3333
3 Pt 0.5000 0.0000 0.0000
4 O 0.6983 0.7015 0.6577
5 O 0.6983 0.3423 0.0438
6 O 0.6983 0.9562 0.2985
7 O 0.3017 0.3423 0.2985
8 O 0.3017 0.7015 0.0438
9 O 0.3017 0.9562 0.6577

Crystalline Rb2AcAl2O6 at its relaxed geometry, computed with PBE.

## Properties
D(E_F) = 8.82 states/eV/cell
DFT total energy = -6.196 eV per atom

Cell lengths 5.6090, 5.6090, 6.6965 Å; angles 90.00, 90.00, 120.00 degrees
Element x y z (fractional)
1 Rb 0.6667 0.3333 0.5000
2 Rb 0.3333 0.6667 0.5000
3 Ac 0.0000 0.0000 0.0000
4 Al 0.3333 0.6667 0.0000
5 Al 0.6667 0.3333 0.0000
6 O 0.0000 0.4013 0.8440
7 O 0.5987 0.5987 0.8440
8 O 0.4013 0.0000 0.8440
9 O 0.0000 0.5987 0.1560
10 O 0.4013 0.4013 0.1560
11 O 0.5987 0.0000 0.1560

Repeat the second record exactly.
Crystalline AcAlPtO4 at its relaxed geometry, computed with PBE.

## Properties
DFT total energy = -7.046 eV per atom

Cell lengths 5.6902, 5.6902, 5.1829 Å; angles 123.29, 123.29, 90.00 degrees
Element x y z (fractional)
1 Ac 0.0000 0.0000 0.0000
2 Al 0.5000 0.5000 0.0000
3 Pt 0.2500 0.7500 0.5000
4 O 0.1600 0.1387 0.6468
5 O 0.4918 0.8400 0.3532
6 O 0.4869 0.5082 0.6468
7 O 0.8613 0.5131 0.3532